This record from Alexandria describes crystalline PuSnHg2 at its relaxed geometry. The functional is PBE.

Results
**Formation enthalpy at 0 K**: -0.41 eV per formula unit
**E_tot**: -4.84 eV per atom

a b c (Å): 3.9078 3.9078 6.7976
angles (deg): 90.00 90.00 90.00
With the nearest neighbours (Å) after each atom.
Space group P4/mmm (No. 123)
Inequivalent atoms, fractional coordinates:
Pu1 0.0000 0.0000 0.0000 (multiplicity 1)  8 Hg 3.26, 2 Sn 3.40
Sn1 0.0000 0.0000 0.5000 (multiplicity 1)  8 Hg 3.23, 2 Pu 3.40
Hg1 0.5000 0.5000 0.2539 (multiplicity 2)  4 Sn 3.23, 4 Pu 3.26, 2 Hg 3.35-3.45